Entry 1:
{
  "formula": "SmLuCd",
  "functional": "PBE-GGA",
  "state": "relaxed",
  "lattice": [[-1.788, 1.788, 6.594], [1.788, -1.788, 6.594], [1.788, 1.788, -6.594]],
  "species": ["Sm", "Lu", "Cd"],
  "fractional_positions": [[0.000, 0.000, 0.000], [0.686, 0.686, 0.000], [0.333, 0.333, 0.000]],
  "ef_ev_per_atom": -0.18,
  "total_magnetization_mub_per_fu": 0.59,
  "energy_ev_per_cell": -10.71,
  "n_ef_per_ev_fu": 4.1
}

Entry 2:
{
  "formula": "SmLuCdSn",
  "functional": "PBE-GGA",
  "state": "relaxed",
  "lattice": [[0.000, 3.741, 3.741], [3.741, 0.000, 3.741], [3.741, 3.741, 0.000]],
  "species": ["Sm", "Lu", "Cd", "Sn"],
  "fractional_positions": [[0.000, 0.000, 0.000], [0.500, 0.500, 0.500], [0.750, 0.750, 0.750], [0.250, 0.250, 0.250]],
  "ef_ev_per_atom": -0.47,
  "total_magnetization_mub_per_fu": 0.00,
  "energy_ev_per_cell": -16.03,
  "n_ef_per_ev_fu": 2.6
}

Entry 3:
{
  "formula": "SmTmLuCd",
  "functional": "PBE-GGA",
  "state": "relaxed",
  "lattice": [[0.000, 3.834, 3.834], [3.834, 0.000, 3.834], [3.834, 3.834, 0.000]],
  "species": ["Sm", "Tm", "Lu", "Cd"],
  "fractional_positions": [[0.000, 0.000, 0.000], [0.500, 0.500, 0.500], [0.250, 0.250, 0.250], [0.750, 0.750, 0.750]],
  "ef_ev_per_atom": -0.03,
  "total_magnetization_mub_per_fu": 0.00,
  "energy_ev_per_cell": -14.76,
  "n_ef_per_ev_fu": 4.7
}

Entry 4:
{
  "formula": "SmLuZnCd",
  "functional": "PBE-GGA",
  "state": "relaxed",
  "lattice": [[0.000, 3.667, 3.667], [3.667, 0.000, 3.667], [3.667, 3.667, 0.000]],
  "species": ["Sm", "Lu", "Zn", "Cd"],
  "fractional_positions": [[0.000, 0.000, 0.000], [0.500, 0.500, 0.500], [0.250, 0.250, 0.250], [0.750, 0.750, 0.750]],
  "ef_ev_per_atom": -0.30,
  "total_magnetization_mub_per_fu": 0.00,
  "energy_ev_per_cell": -12.63,
  "n_ef_per_ev_fu": 3.8
}

Entry 5:
{
  "formula": "LuCdSn",
  "functional": "PBE-GGA",
  "state": "relaxed",
  "lattice": [[4.965, 0.000, 0.000], [-2.482, 4.300, 0.000], [0.000, 0.000, 3.398]],
  "species": ["Lu", "Cd", "Sn"],
  "fractional_positions": [[0.000, 0.000, 0.000], [0.333, 0.667, 0.504], [0.667, 0.333, 0.497]],
  "ef_ev_per_atom": -0.34,
  "total_magnetization_mub_per_fu": 0.00,
  "energy_ev_per_cell": -10.47,
  "n_ef_per_ev_fu": 1.1
}

Entry 6:
{
  "formula": "LuCd2Sn",
  "functional": "PBE-GGA",
  "state": "relaxed",
  "lattice": [[3.512, 0.000, 0.000], [0.000, 3.512, 0.000], [0.000, 0.000, 8.104]],
  "species": ["Lu", "Cd", "Cd", "Sn"],
  "fractional_positions": [[0.000, 0.000, 0.000], [0.500, 0.500, 0.249], [0.500, 0.500, 0.751], [0.000, 0.000, 0.500]],
  "ef_ev_per_atom": -0.14,
  "de_polymorph_ev_per_atom": 0.211,
  "total_magnetization_mub_per_fu": 0.00,
  "energy_ev_per_cell": -10.90,
  "n_ef_per_ev_fu": 2.1
}